8
Lattice="3.395 -4.820 0.000 3.395 4.820 0.000 0.000 0.000 3.421" Properties=species:S:1:pos:R:3 comment="Ca3CdO4 (PBE-GGA, optimized geometry)" sg="No. 65" raw_formation_energy_ev_per_atom=-2.489 energy_ev_per_atom=-5.833 magnetic_moment_mub_per_fu=0.00 pbc="T T T"
Ca 0.000 0.000 0.000
Ca 1.697 2.410 1.711
Ca 1.697 -2.410 1.711
Cd 3.395 0.000 0.000
O 1.670 0.000 1.711
O 3.395 2.444 0.000
O 3.395 -2.444 0.000
O 5.120 0.000 1.711

10
Lattice="5.646 -1.710 0.000 5.646 1.710 0.000 -4.095 0.000 7.268" Properties=species:S:1:pos:R:3 comment="Ca4CdO5 (PBE-GGA, optimized geometry)" sg="No. 12" raw_formation_energy_ev_per_atom=-2.584 energy_ev_per_atom=-5.955 magnetic_moment_mub_per_fu=0.00 pbc="T T T"
Ca -0.516 0.000 2.875
Ca 2.541 0.000 1.447
Ca 4.656 0.000 5.821
Ca 7.713 0.000 4.393
Cd 5.646 0.000 0.000
O -2.525 0.000 6.532
O 0.511 0.000 5.062
O 3.599 0.000 3.634
O 6.686 0.000 2.206
O 9.722 0.000 0.736

12
Lattice="2.956 -5.119 0.000 2.956 5.119 0.000 -1.971 0.000 5.570" Properties=species:S:1:pos:R:3 comment="Ca5CdO6 (PBE-GGA, optimized geometry)" sg="No. 12" raw_formation_energy_ev_per_atom=-2.648 energy_ev_per_atom=-6.037 magnetic_moment_mub_per_fu=0.00 pbc="T T T"
Ca 0.000 0.000 0.000
Ca 1.970 3.408 2.785
Ca 2.956 1.688 0.000
Ca 2.956 -1.688 0.000
Ca 1.970 -3.408 2.785
Cd 1.970 0.000 2.785
O 0.972 1.728 1.376
O -0.027 0.000 4.196
O 0.972 -1.728 1.376
O 2.968 1.728 4.194
O 3.967 0.000 1.375
O 2.968 -1.728 4.194

8
Lattice="3.415 0.000 0.000 0.000 3.415 0.000 0.000 0.000 9.613" Properties=species:S:1:pos:R:3 comment="Ca3CdO4 (PBE-GGA, optimized geometry)" sg="No. 123" raw_formation_energy_ev_per_atom=-2.487 energy_ev_per_atom=-5.831 magnetic_moment_mub_per_fu=0.00 pbc="T T T"
Ca 0.000 0.000 0.000
Ca 1.707 1.707 2.441
Ca 1.707 1.707 7.172
Cd 0.000 0.000 4.806
O 0.000 0.000 2.399
O 0.000 0.000 7.214
O 1.707 1.707 0.000
O 1.707 1.707 4.806

12
Lattice="-2.635 2.635 5.786 2.635 -2.635 5.786 2.635 2.635 -5.786" Properties=species:S:1:pos:R:3 comment="CaCdOs2O8 (PBE-GGA, optimized geometry)" sg="No. 82" raw_formation_energy_ev_per_atom=-1.263 energy_ev_per_atom=-6.683 magnetic_moment_mub_per_fu=2.93 pbc="T T T"
Ca 0.000 0.000 0.000
Cd 0.000 2.635 2.893
Os 2.635 0.000 2.893
Os 0.000 0.000 5.786
O 3.937 -0.864 1.964
O 1.770 -1.303 3.822
O 1.771 1.348 -0.948
O 1.332 0.864 1.964
O 1.287 -0.864 6.734
O 3.499 1.303 3.822
O 0.864 1.287 4.838
O 1.348 3.499 0.948

5
Lattice="5.062 0.000 0.000 0.000 5.062 0.000 0.000 0.000 4.232" Properties=species:S:1:pos:R:3 comment="CaCdP2O (PBE-GGA, optimized geometry)" polymorph_energy_mev_per_atom=0 sg="No. 123" raw_formation_energy_ev_per_atom=0.122 energy_ev_per_atom=-3.617 magnetic_moment_mub_per_fu=1.76 pbc="T T T"
Ca 0.000 0.000 0.000
Cd 2.531 2.531 2.116
P 0.000 2.531 2.116
P 2.531 0.000 2.116
O 2.531 2.531 0.000

5
Lattice="4.308 0.000 0.000 0.000 4.308 0.000 0.000 0.000 4.938" Properties=species:S:1:pos:R:3 comment="CaCdPO2 (PBE-GGA, optimized geometry)" polymorph_energy_mev_per_atom=0 sg="No. 123" raw_formation_energy_ev_per_atom=-0.317 energy_ev_per_atom=-3.966 magnetic_moment_mub_per_fu=1.69 pbc="T T T"
Ca 0.000 0.000 0.000
Cd 2.154 2.154 2.469
P 2.154 2.154 0.000
O 0.000 2.154 2.469
O 2.154 0.000 2.469

5
Lattice="4.276 0.000 0.000 0.000 4.276 0.000 0.000 0.000 5.966" Properties=species:S:1:pos:R:3 comment="CaCdPO2 (PBE-GGA, optimized geometry)" polymorph_energy_mev_per_atom=145 sg="No. 123" raw_formation_energy_ev_per_atom=-0.172 energy_ev_per_atom=-3.821 magnetic_moment_mub_per_fu=2.94 pbc="T T T"
Ca 0.000 0.000 0.000
Cd 2.138 2.138 2.983
P 0.000 0.000 2.983
O 0.000 2.138 0.000
O 2.138 0.000 0.000

5
Lattice="5.361 0.000 0.000 0.000 5.361 0.000 0.000 0.000 4.230" Properties=species:S:1:pos:R:3 comment="CaCdP2O (PBE-GGA, optimized geometry)" polymorph_energy_mev_per_atom=297 sg="No. 123" raw_formation_energy_ev_per_atom=0.419 energy_ev_per_atom=-3.320 magnetic_moment_mub_per_fu=1.65 pbc="T T T"
Ca 0.000 0.000 0.000
Cd 2.680 2.680 2.115
P 0.000 2.680 0.000
P 2.680 0.000 0.000
O 0.000 0.000 2.115

Repeat the fifth record exactly.
12
Lattice="-2.635 2.635 5.786 2.635 -2.635 5.786 2.635 2.635 -5.786" Properties=species:S:1:pos:R:3 comment="CaCdOs2O8 (PBE-GGA, optimized geometry)" sg="No. 82" raw_formation_energy_ev_per_atom=-1.263 energy_ev_per_atom=-6.683 magnetic_moment_mub_per_fu=2.93 pbc="T T T"
Ca 0.000 0.000 0.000
Cd 0.000 2.635 2.893
Os 2.635 0.000 2.893
Os 0.000 0.000 5.786
O 3.937 -0.864 1.964
O 1.770 -1.303 3.822
O 1.771 1.348 -0.948
O 1.332 0.864 1.964
O 1.287 -0.864 6.734
O 3.499 1.303 3.822
O 0.864 1.287 4.838
O 1.348 3.499 0.948